## w
LiDySi2: relaxed, PBE-GGA.

Output
The density of states at the Fermi level is 3.2 states/eV/cell. The magnetization is 0.000 μB per atom. As for the space group: Pnma (62).

The structure in CIF format:
```
data_LiDySi2
_chemical_formula_sum 'Li4 Dy4 Si8'
_space_group_name_H-M_alt 'P 1'
_space_group_IT_number 1
_space_group_name_Hall 'P 1'
_cell_length_a 6.624
_cell_length_b 4.110
_cell_length_c 10.775
_cell_angle_alpha 90.00
_cell_angle_beta 90.00
_cell_angle_gamma 90.00
loop_
_atom_site_label
_atom_site_fract_x
_atom_site_fract_y
_atom_site_fract_z
Li1 0.139 0.250 0.055
Li2 0.361 0.750 0.555
Li3 0.639 0.250 0.445
Li4 0.861 0.750 0.945
Dy1 0.148 0.250 0.344
Dy2 0.352 0.750 0.844
Dy3 0.648 0.250 0.156
Dy4 0.852 0.750 0.656
Si1 0.029 0.250 0.833
Si2 0.175 0.250 0.633
Si3 0.325 0.750 0.133
Si4 0.471 0.750 0.333
Si5 0.529 0.250 0.667
Si6 0.675 0.250 0.867
Si7 0.825 0.750 0.367
Si8 0.971 0.750 0.167
```

***

## x
LiDySi2: relaxed, PBE-GGA.

Output
The density of states at the Fermi level is 1.0 states/eV/cell. The magnetization is 0.000 μB per atom. As for the space group: P4/mmm (123).

The structure in CIF format:
```
data_LiDySi2
_chemical_formula_sum 'Li1 Dy1 Si2'
_space_group_name_H-M_alt 'P 1'
_space_group_IT_number 1
_space_group_name_Hall 'P 1'
_cell_length_a 4.131
_cell_length_b 4.131
_cell_length_c 4.159
_cell_angle_alpha 90.00
_cell_angle_beta 90.00
_cell_angle_gamma 90.00
loop_
_atom_site_label
_atom_site_fract_x
_atom_site_fract_y
_atom_site_fract_z
Li1 0.000 0.000 0.000
Dy1 0.500 0.500 0.000
Si1 0.000 0.500 0.500
Si2 0.500 0.000 0.500
```

***

Which structure is the most stable? The one labeled w.

***

## w
Li2SmDy: relaxed, PBE-GGA.

Output
The density of states at the Fermi level is 3.3 states/eV/cell. The magnetization is 0.000 μB per atom. As for the space group: R-3m (166).

The structure in CIF format:
```
data_Li2SmDy
_chemical_formula_sum 'Li2 Sm1 Dy1'
_space_group_name_H-M_alt 'P 1'
_space_group_IT_number 1
_space_group_name_Hall 'P 1'
_cell_length_a 12.012
_cell_length_b 12.012
_cell_length_c 12.012
_cell_angle_alpha 15.98
_cell_angle_beta 15.98
_cell_angle_gamma 15.98
loop_
_atom_site_label
_atom_site_fract_x
_atom_site_fract_y
_atom_site_fract_z
Li1 0.088 0.088 0.088
Li2 0.912 0.912 0.912
Sm1 0.500 0.500 0.500
Dy1 0.000 0.000 0.000
```

***

## x
Li2SmDy: relaxed, PBE-GGA.

Output
The density of states at the Fermi level is 5.0 states/eV/cell. The magnetization is 0.000 μB per atom. As for the space group: Fm-3m (225).

The structure in CIF format:
```
data_Li2SmDy
_chemical_formula_sum 'Li2 Sm1 Dy1'
_space_group_name_H-M_alt 'P 1'
_space_group_IT_number 1
_space_group_name_Hall 'P 1'
_cell_length_a 5.298
_cell_length_b 5.298
_cell_length_c 5.298
_cell_angle_alpha 60.00
_cell_angle_beta 60.00
_cell_angle_gamma 60.00
loop_
_atom_site_label
_atom_site_fract_x
_atom_site_fract_y
_atom_site_fract_z
Li1 0.250 0.250 0.250
Li2 0.750 0.750 0.750
Sm1 0.000 0.000 0.000
Dy1 0.500 0.500 0.500
```

***

Which structure is the most stable? The one labeled x.

***

## w
LiSmDy: relaxed, PBE-GGA.

Output
The density of states at the Fermi level is 6.8 states/eV/cell. The magnetization is 0.000 μB per atom. As for the space group: P4/nmm (129).

The structure in CIF format:
```
data_LiSmDy
_chemical_formula_sum 'Li2 Sm2 Dy2'
_space_group_name_H-M_alt 'P 1'
_space_group_IT_number 1
_space_group_name_Hall 'P 1'
_cell_length_a 3.605
_cell_length_b 3.605
_cell_length_c 13.294
_cell_angle_alpha 90.00
_cell_angle_beta 90.00
_cell_angle_gamma 90.00
loop_
_atom_site_label
_atom_site_fract_x
_atom_site_fract_y
_atom_site_fract_z
Li1 0.250 0.750 0.000
Li2 0.750 0.250 0.000
Sm1 0.250 0.250 0.218
Sm2 0.750 0.750 0.782
Dy1 0.250 0.250 0.595
Dy2 0.750 0.750 0.405
```

***

## x
LiSmDy: relaxed, PBE-GGA.

Output
The density of states at the Fermi level is 3.2 states/eV/cell. The magnetization is 0.000 μB per atom. As for the space group: P3m1 (156).

The structure in CIF format:
```
data_LiSmDy
_chemical_formula_sum 'Li1 Sm1 Dy1'
_space_group_name_H-M_alt 'P 1'
_space_group_IT_number 1
_space_group_name_Hall 'P 1'
_cell_length_a 3.506
_cell_length_b 3.506
_cell_length_c 8.371
_cell_angle_alpha 90.00
_cell_angle_beta 90.00
_cell_angle_gamma 120.00
loop_
_atom_site_label
_atom_site_fract_x
_atom_site_fract_y
_atom_site_fract_z
Li1 0.000 0.000 0.000
Sm1 0.667 0.333 0.333
Dy1 0.333 0.667 0.674
```

***

Which structure is the most stable? The one labeled x.

***

## w
LiSmDy: relaxed, PBE-GGA.

Output
The density of states at the Fermi level is 8.6 states/eV/cell. The magnetization is 0.206 μB per atom. As for the space group: C2/m (12).

The structure in CIF format:
```
data_LiSmDy
_chemical_formula_sum 'Li2 Sm2 Dy2'
_space_group_name_H-M_alt 'P 1'
_space_group_IT_number 1
_space_group_name_Hall 'P 1'
_cell_length_a 3.525
_cell_length_b 3.525
_cell_length_c 27.376
_cell_angle_alpha 94.86
_cell_angle_beta 94.86
_cell_angle_gamma 59.97
loop_
_atom_site_label
_atom_site_fract_x
_atom_site_fract_y
_atom_site_fract_z
Li1 0.148 0.148 0.460
Li2 0.852 0.852 0.540
Sm1 0.309 0.309 0.943
Sm2 0.691 0.691 0.057
Dy1 0.069 0.069 0.160
Dy2 0.931 0.931 0.840
```

***

## x
LiSmDy: relaxed, PBE-GGA.

Output
The density of states at the Fermi level is 4.3 states/eV/cell. The magnetization is 0.004 μB per atom. As for the space group: I4mm (107).

The structure in CIF format:
```
data_LiSmDy
_chemical_formula_sum 'Li1 Sm1 Dy1'
_space_group_name_H-M_alt 'P 1'
_space_group_IT_number 1
_space_group_name_Hall 'P 1'
_cell_length_a 6.736
_cell_length_b 6.736
_cell_length_c 6.736
_cell_angle_alpha 148.15
_cell_angle_beta 148.15
_cell_angle_gamma 45.67
loop_
_atom_site_label
_atom_site_fract_x
_atom_site_fract_y
_atom_site_fract_z
Li1 0.000 0.000 0.000
Sm1 0.657 0.657 0.000
Dy1 0.350 0.350 0.000
```

***

Which structure is the most stable? The one labeled x.